Record 1
Computed, not measured: a geometry-optimized GdFe2P2 structure at the PBE level of DFT.

a b c (Å): 5.5151 5.5151 5.5151
angles (deg): 139.44 139.44 58.70
Fractional coordinates of all 5 atoms:
Gd1 0.0000 0.0000 0.0000
Fe1 0.2500 0.7500 0.5000
Fe2 0.7500 0.2500 0.5000
P1 0.3649 0.3649 0.0000
P2 0.6351 0.6351 0.0000

Properties
uncorrected energy: -7.4239 eV per atom
magnetic moment: 0.0007 μB per atom
crystal system: tetragonal


Record 2
Computed, not measured: a geometry-optimized ZnGaCuW structure at the PBE level of DFT.

a b c (Å): 4.3399 4.3399 4.3399
angles (deg): 60.00 60.00 60.00
Fractional coordinates of all 4 atoms:
Zn1 0.0000 0.0000 0.0000
Ga1 0.5000 0.5000 0.5000
Cu1 0.7500 0.7500 0.7500
W1 0.2500 0.2500 0.2500

Properties
uncorrected energy: -4.8236 eV per atom
magnetic moment: 0.2143 μB per atom
crystal system: cubic


Record 3
Computed, not measured: a geometry-optimized GaOsPd2 structure at the PBE level of DFT.

a b c (Å): 4.3824 4.3824 4.3824
angles (deg): 60.00 60.00 60.00
Fractional coordinates of all 4 atoms:
Ga1 0.0000 0.0000 0.0000
Os1 0.2500 0.2500 0.2500
Pd1 0.5000 0.5000 0.5000
Pd2 0.7500 0.7500 0.7500

Properties
uncorrected energy: -6.0745 eV per atom
magnetic moment: 0.2579 μB per atom
crystal system: cubic


Record 4
Computed, not measured: a geometry-optimized SrCuP structure at the PBE level of DFT.

a b c (Å): 7.7671 7.7671 3.9498
angles (deg): 90.00 90.00 120.00
Fractional coordinates of all 9 atoms:
Sr1 0.0000 0.2799 0.0000
Sr2 0.2799 0.0000 0.0000
Sr3 0.7201 0.7201 0.0000
Cu1 0.0000 0.6189 0.5000
Cu2 0.3811 0.3811 0.5000
Cu3 0.6189 0.0000 0.5000
P1 0.0000 0.0000 0.5000
P2 0.3333 0.6667 0.0000
P3 0.6667 0.3333 0.0000

Properties
uncorrected energy: -3.6776 eV per atom
crystal system: hexagonal


Record 5
Computed, not measured: a geometry-optimized HoZnGe structure at the PBE level of DFT.

a b c (Å): 4.2192 4.2192 15.5899
angles (deg): 90.00 90.00 120.00
Fractional coordinates of all 12 atoms:
Ho1 0.0000 0.0000 0.0000
Ho2 0.0000 0.0000 0.2500
Ho3 0.0000 0.0000 0.5000
Ho4 0.0000 0.0000 0.7500
Zn1 0.3333 0.6667 0.1475
Zn2 0.3333 0.6667 0.3525
Zn3 0.6667 0.3333 0.6475
Zn4 0.6667 0.3333 0.8525
Ge1 0.3333 0.6667 0.6137
Ge2 0.3333 0.6667 0.8863
Ge3 0.6667 0.3333 0.1137
Ge4 0.6667 0.3333 0.3863

Properties
uncorrected energy: -4.1458 eV per atom
magnetic moment: 0.0003 μB per atom
crystal system: hexagonal


Record 6
Computed, not measured: a geometry-optimized ZrFeRePb structure at the PBE level of DFT.

a b c (Å): 4.6177 4.6177 4.6177
angles (deg): 60.00 60.00 60.00
Fractional coordinates of all 4 atoms:
Zr1 0.0000 0.0000 0.0000
Fe1 0.7500 0.7500 0.7500
Re1 0.2500 0.2500 0.2500
Pb1 0.5000 0.5000 0.5000

Properties
uncorrected energy: -7.8697 eV per atom
magnetic moment: 0.2376 μB per atom
crystal system: cubic


Record 7
Computed, not measured: a geometry-optimized K2ZrSi2O7 structure at the PBE level of DFT.

a b c (Å): 9.5657 5.5745 14.1170
angles (deg): 90.00 117.26 90.00
Fractional coordinates of all 48 atoms:
K1 0.0213 0.2450 0.4036
K2 0.0213 0.2550 0.9036
K3 0.4610 0.2441 0.5702
K4 0.4610 0.2559 0.0702
K5 0.5390 0.7441 0.9298
K6 0.5390 0.7559 0.4298
K7 0.9787 0.7450 0.0964
K8 0.9787 0.7550 0.5964
Zr1 0.2671 0.2400 0.7732
Zr2 0.2671 0.2600 0.2732
Zr3 0.7329 0.7400 0.7268
Zr4 0.7329 0.7600 0.2268
Si1 0.1662 0.7498 0.3876
Si2 0.1662 0.7502 0.8876
Si3 0.3209 0.7309 0.6289
Si4 0.3209 0.7691 0.1289
Si5 0.6791 0.2309 0.8711
Si6 0.6791 0.2691 0.3711
Si7 0.8338 0.2498 0.1124
Si8 0.8338 0.2502 0.6125
O1 0.0216 0.2459 0.6923
O2 0.0216 0.2541 0.1923
O3 0.1749 0.7110 0.0075
O4 0.1749 0.7890 0.5075
O5 0.2498 0.0046 0.8882
O6 0.2498 0.4954 0.3882
O7 0.2566 0.5233 0.8681
O8 0.2566 0.9767 0.3681
O9 0.2863 0.0367 0.1604
O10 0.2863 0.4633 0.6604
O11 0.2984 0.5652 0.2027
O12 0.2984 0.9348 0.7027
O13 0.4869 0.7497 0.1244
O14 0.4869 0.7503 0.6244
O15 0.5131 0.2497 0.3756
O16 0.5131 0.2503 0.8756
O17 0.7016 0.0652 0.2973
O18 0.7016 0.4348 0.7973
O19 0.7137 0.5367 0.3396
O20 0.7137 0.9633 0.8396
O21 0.7434 0.0233 0.6319
O22 0.7434 0.4767 0.1319
O23 0.7502 0.5046 0.6118
O24 0.7502 0.9954 0.1118
O25 0.8251 0.2110 0.4925
O26 0.8251 0.2890 0.9925
O27 0.9784 0.7459 0.8077
O28 0.9784 0.7541 0.3077

Properties
uncorrected energy: -7.4684 eV per atom
magnetic moment: 0.0002 μB per atom
crystal system: monoclinic


Record 8
Computed, not measured: a geometry-optimized Dy3Y2Lu2Ni2Te2 structure at the PBE level of DFT.

a b c (Å): 9.3193 9.3193 9.3193
angles (deg): 156.21 66.67 118.75
Fractional coordinates of all 11 atoms:
Dy1 0.0000 0.0000 0.0000
Dy2 0.6218 0.2690 0.3528
Dy3 0.9162 0.2690 0.6472
Y1 0.3067 0.6226 0.6840
Y2 0.9386 0.6226 0.3160
Lu1 0.2841 0.4178 0.8663
Lu2 0.5514 0.4178 0.1337
Ni1 0.1673 0.9264 0.2409
Ni2 0.6855 0.9264 0.7591
Te1 0.2692 0.7692 0.5000
Te2 0.6597 0.6597 0.0000

Properties
uncorrected energy: -5.5083 eV per atom
magnetic moment: 0.0004 μB per atom
crystal system: orthorhombic


Record 9
Computed, not measured: a geometry-optimized NaPbAuSeS2 structure at the PBE level of DFT.

a b c (Å): 7.7426 7.7426 10.6295
angles (deg): 90.00 90.00 150.48
Fractional coordinates of all 12 atoms:
Na1 0.2102 0.7898 0.7500
Na2 0.7898 0.2102 0.2500
Pb1 0.5000 0.5000 0.0000
Pb2 0.5000 0.5000 0.5000
Au1 0.1342 0.8658 0.2500
Au2 0.8658 0.1342 0.7500
Se1 0.4347 0.5653 0.2500
Se2 0.5653 0.4347 0.7500
S1 0.1311 0.8689 0.0339
S2 0.1311 0.8689 0.4661
S3 0.8689 0.1311 0.5339
S4 0.8689 0.1311 0.9661

Properties
uncorrected energy: -3.6499 eV per atom
crystal system: orthorhombic


Record 10
Computed, not measured: a geometry-optimized Dy2Sc2CBr2Cl3 structure at the PBE level of DFT.

a b c (Å): 8.8695 8.8695 7.7879
angles (deg): 102.19 102.19 23.80
Fractional coordinates of all 10 atoms:
Dy1 0.0000 0.0000 0.2113
Dy2 0.0000 0.0000 0.7887
Sc1 0.3680 0.3680 0.9314
Sc2 0.6320 0.6320 0.0686
C1 0.5000 0.5000 0.0000
Br1 0.1708 0.1708 0.8367
Br2 0.8292 0.8292 0.1633
Cl1 0.1606 0.1606 0.3093
Cl2 0.5000 0.5000 0.5000
Cl3 0.8394 0.8394 0.6907

Properties
uncorrected energy: -5.5841 eV per atom
magnetic moment: 0.0003 μB per atom
crystal system: monoclinic


Record 11
Computed, not measured: a geometry-optimized ZrInCoHg structure at the PBE level of DFT.

a b c (Å): 4.7154 4.7154 4.7154
angles (deg): 60.00 60.00 60.00
Fractional coordinates of all 4 atoms:
Zr1 0.0000 0.0000 0.0000
In1 0.5000 0.5000 0.5000
Co1 0.2500 0.2500 0.2500
Hg1 0.7500 0.7500 0.7500

Properties
uncorrected energy: -4.6288 eV per atom
magnetic moment: 0.1079 μB per atom
crystal system: cubic


Record 12
Computed, not measured: a geometry-optimized FeBiB structure at the PBE level of DFT.

a b c (Å): 4.0871 4.0871 4.0871
angles (deg): 60.00 60.00 60.00
Fractional coordinates of all 3 atoms:
Fe1 0.0000 0.0000 0.0000
Bi1 0.5000 0.5000 0.5000
B1 0.7500 0.7500 0.7500

Properties
uncorrected energy: -5.2428 eV per atom
magnetic moment: 0.6777 μB per atom
crystal system: cubic